1.
The following is a PBE-GGA calculation of a geometry-optimized LaEuBi2 structure, from Alexandria. Values from VASP.

Cell and atoms, written as Quantum ESPRESSO input:
```
&SYSTEM
  ibrav = 0, nat = 4, ntyp = 3
/
ATOMIC_SPECIES
La 138.91 La.upf
Eu 151.96 Eu.upf
Bi 208.98 Bi.upf
CELL_PARAMETERS angstrom
6.066 0.000 0.000
0.000 6.066 0.000
0.000 0.000 3.551
ATOMIC_POSITIONS crystal
La 0.000 0.000 0.000
Eu 0.500 0.500 0.000
Bi 0.000 0.500 0.500
Bi 0.500 0.000 0.500
```

Results
DFT total energy = -6.571 eV/atom
M_tot = 7.17 μB per formula unit
polymorph energy (0 for the lowest one) = 0.18 eV/f.u.
formation energy from the elements = -0.8303 eV per atom

---

2.
The following is a PBE-GGA calculation of a geometry-optimized P2HAuS structure, from Alexandria. Values from VASP.

Cell and atoms, written as Quantum ESPRESSO input:
```
&SYSTEM
  ibrav = 0, nat = 5, ntyp = 4
/
ATOMIC_SPECIES
P 30.97 P.upf
H 1.01 H.upf
Au 196.97 Au.upf
S 32.06 S.upf
CELL_PARAMETERS angstrom
4.832 0.000 0.000
0.000 4.832 0.000
0.000 0.000 5.058
ATOMIC_POSITIONS crystal
P 0.000 0.500 0.000
P 0.500 0.000 0.000
H 0.000 0.000 0.500
Au 0.500 0.500 0.000
S 0.500 0.500 0.500
```

Results
DFT total energy = -2.783 eV/atom
M_tot = 1.47 μB per formula unit
polymorph energy (0 for the lowest one) = 4.09 eV/f.u.

---

3.
The following is a PBE-GGA calculation of a geometry-optimized AlSb structure, from Alexandria. Values from VASP.

Cell and atoms, written as Quantum ESPRESSO input:
```
&SYSTEM
  ibrav = 0, nat = 16, ntyp = 2
/
ATOMIC_SPECIES
Al 26.98 Al.upf
Sb 121.76 Sb.upf
CELL_PARAMETERS angstrom
7.876 0.000 0.000
0.000 8.017 0.000
0.000 0.000 8.972
ATOMIC_POSITIONS crystal
Al 0.131 0.067 0.242
Al 0.154 0.605 0.969
Al 0.346 0.395 0.469
Al 0.369 0.933 0.742
Al 0.631 0.433 0.758
Al 0.654 0.895 0.031
Al 0.846 0.105 0.531
Al 0.869 0.567 0.258
Sb 0.167 0.406 0.212
Sb 0.194 0.105 0.538
Sb 0.306 0.895 0.038
Sb 0.333 0.594 0.712
Sb 0.667 0.094 0.788
Sb 0.694 0.395 0.462
Sb 0.806 0.605 0.962
Sb 0.833 0.906 0.288
```

Results
DFT total energy = -3.913 eV/atom
M_tot = 0.00 μB per formula unit
ΔE_f (raw) = 0.02 eV per atom

---

4.
The following is a PBE-GGA calculation of a geometry-optimized Tc3Ge structure, from Alexandria. Values from VASP.

Cell and atoms, written as Quantum ESPRESSO input:
```
&SYSTEM
  ibrav = 0, nat = 4, ntyp = 2
/
ATOMIC_SPECIES
Tc 98.00 Tc.upf
Ge 72.64 Ge.upf
CELL_PARAMETERS angstrom
2.890 0.000 0.000
0.000 4.390 0.000
0.000 0.000 4.633
ATOMIC_POSITIONS crystal
Tc 0.000 0.000 0.000
Tc 0.000 0.500 0.291
Tc 0.500 0.500 0.781
Ge 0.500 0.000 0.476
```

Results
DFT total energy = -8.905 eV/atom
M_tot = 0.00 μB per formula unit
formation energy from the elements = 0.0237 eV per atom

---

5.
The following is a PBE-GGA calculation of a geometry-optimized Sr3ScCd4 structure, from Alexandria. Values from VASP.

Cell and atoms, written as Quantum ESPRESSO input:
```
&SYSTEM
  ibrav = 0, nat = 8, ntyp = 3
/
ATOMIC_SPECIES
Sr 87.62 Sr.upf
Sc 44.96 Sc.upf
Cd 112.41 Cd.upf
CELL_PARAMETERS angstrom
3.866 0.000 0.000
0.000 3.866 0.000
0.000 0.000 16.073
ATOMIC_POSITIONS crystal
Sr 0.000 0.000 0.000
Sr 0.000 0.000 0.266
Sr 0.000 0.000 0.734
Sc 0.000 0.000 0.500
Cd 0.500 0.500 0.133
Cd 0.500 0.500 0.404
Cd 0.500 0.500 0.596
Cd 0.500 0.500 0.867
```

Results
DFT total energy = -2.166 eV/atom
M_tot = 0.00 μB per formula unit
formation energy from the elements = -0.2860 eV per atom

---

6.
The following is a PBE-GGA calculation of a geometry-optimized BaAgSbPd3 structure, from Alexandria. Values from VASP.

Cell and atoms, written as Quantum ESPRESSO input:
```
&SYSTEM
  ibrav = 0, nat = 12, ntyp = 4
/
ATOMIC_SPECIES
Ba 137.33 Ba.upf
Ag 107.87 Ag.upf
Sb 121.76 Sb.upf
Pd 106.42 Pd.upf
CELL_PARAMETERS angstrom
3.149 -8.182 0.000
3.149 8.182 0.000
0.000 0.000 6.179
ATOMIC_POSITIONS crystal
Ba 0.221 0.779 0.750
Ba 0.779 0.221 0.250
Ag 0.115 0.885 0.250
Ag 0.885 0.115 0.750
Sb 0.433 0.567 0.250
Sb 0.567 0.433 0.750
Pd 0.217 0.217 0.000
Pd 0.217 0.217 0.500
Pd 0.277 0.723 0.250
Pd 0.723 0.277 0.750
Pd 0.783 0.783 0.000
Pd 0.783 0.783 0.500
```

Results
DFT total energy = -4.374 eV/atom
M_tot = 0.00 μB per formula unit
ΔE_f (raw) = -0.29 eV per atom

---

Among the records above, which one has the highest DFT total energy? Sr3ScCd4

---

The highest DFT total energy belongs to which entry? Sr3ScCd4

---

Among the records above, which one has the highest DFT total energy? Sr3ScCd4

---

Among the records above, which one has the lowest DFT total energy? Tc3Ge